(1)
# PBE-GGA Nd2SnB2Rh5, optimized geometry
data_Nd2SnB2Rh5
_chemical_formula_sum 'Nd4 Sn2 B4 Rh10'
_symmetry_space_group_name_H-M 'P 1'
_symmetry_Int_Tables_number 1
_cell_length_a 9.7576
_cell_length_b 9.7576
_cell_length_c 3.3096
_cell_angle_alpha 90.00
_cell_angle_beta 90.00
_cell_angle_gamma 90.00
loop_
_symmetry_equiv_pos_as_xyz
'x,y,z'
loop_
_atom_site_label
_atom_site_type_symbol
_atom_site_fract_x
_atom_site_fract_y
_atom_site_fract_z
Nd1 Nd 0.1767 0.3233 0.0000
Nd2 Nd 0.3233 0.8233 0.0000
Nd3 Nd 0.6767 0.1767 0.0000
Nd4 Nd 0.8233 0.6767 0.0000
Sn1 Sn 0.0000 0.0000 0.0000
Sn2 Sn 0.5000 0.5000 0.0000
B1 B 0.1199 0.6199 0.0000
B2 B 0.3801 0.1199 0.0000
B3 B 0.6199 0.8801 0.0000
B4 B 0.8801 0.3801 0.0000
Rh1 Rh 0.0000 0.5000 0.5000
Rh2 Rh 0.0700 0.7720 0.5000
Rh3 Rh 0.2280 0.0700 0.5000
Rh4 Rh 0.2720 0.5700 0.5000
Rh5 Rh 0.4300 0.2720 0.5000
Rh6 Rh 0.5000 0.0000 0.5000
Rh7 Rh 0.5700 0.7280 0.5000
Rh8 Rh 0.7280 0.4300 0.5000
Rh9 Rh 0.7720 0.9300 0.5000
Rh10 Rh 0.9300 0.2280 0.5000
# - energy of formation (eV per atom) = -0.70
# - space-group type = P4/mbm (127)

(2)
# PBE-GGA Zn2AgHg, optimized geometry
data_Zn2AgHg
_chemical_formula_sum 'Zn2 Ag1 Hg1'
_symmetry_space_group_name_H-M 'P 1'
_symmetry_Int_Tables_number 1
_cell_length_a 4.3474
_cell_length_b 4.3474
_cell_length_c 3.7454
_cell_angle_alpha 90.00
_cell_angle_beta 90.00
_cell_angle_gamma 90.00
loop_
_symmetry_equiv_pos_as_xyz
'x,y,z'
loop_
_atom_site_label
_atom_site_type_symbol
_atom_site_fract_x
_atom_site_fract_y
_atom_site_fract_z
Zn1 Zn 0.0000 0.5000 0.0000
Zn2 Zn 0.5000 0.0000 0.0000
Ag1 Ag 0.0000 0.0000 0.5000
Hg1 Hg 0.5000 0.5000 0.5000
# - energy of formation (eV per atom) = 0.09
# - space-group type = P4/mmm (123)

(3)
# PBE-GGA FeTeRu2, optimized geometry
data_FeTeRu2
_chemical_formula_sum 'Fe1 Te1 Ru2'
_symmetry_space_group_name_H-M 'P 1'
_symmetry_Int_Tables_number 1
_cell_length_a 8.1185
_cell_length_b 8.1185
_cell_length_c 8.1185
_cell_angle_alpha 21.80
_cell_angle_beta 21.80
_cell_angle_gamma 21.80
loop_
_symmetry_equiv_pos_as_xyz
'x,y,z'
loop_
_atom_site_label
_atom_site_type_symbol
_atom_site_fract_x
_atom_site_fract_y
_atom_site_fract_z
Fe1 Fe 0.0000 0.0000 0.0000
Te1 Te 0.5000 0.5000 0.5000
Ru1 Ru 0.2543 0.2543 0.2543
Ru2 Ru 0.7457 0.7457 0.7457
# - formation energy without anion corrections (kJ/mol of formula units) = 186
# - space-group type = R-3m (166)

(4)
# PBE-GGA K2TlOs, optimized geometry
data_K2TlOs
_chemical_formula_sum 'K2 Tl1 Os1'
_symmetry_space_group_name_H-M 'P 1'
_symmetry_Int_Tables_number 1
_cell_length_a 5.6085
_cell_length_b 5.6085
_cell_length_c 5.6085
_cell_angle_alpha 60.00
_cell_angle_beta 60.00
_cell_angle_gamma 60.00
loop_
_symmetry_equiv_pos_as_xyz
'x,y,z'
loop_
_atom_site_label
_atom_site_type_symbol
_atom_site_fract_x
_atom_site_fract_y
_atom_site_fract_z
K1 K 0.2500 0.2500 0.2500
K2 K 0.7500 0.7500 0.7500
Tl1 Tl 0.0000 0.0000 0.0000
Os1 Os 0.5000 0.5000 0.5000
# - energy of formation (eV per atom) = 1.31
# - space-group type = Fm-3m (225)

(5)
# PBE-GGA ThZn2Hg2, optimized geometry
data_ThZn2Hg2
_chemical_formula_sum 'Th1 Zn2 Hg2'
_symmetry_space_group_name_H-M 'P 1'
_symmetry_Int_Tables_number 1
_cell_length_a 6.2890
_cell_length_b 6.2890
_cell_length_c 6.2890
_cell_angle_alpha 138.25
_cell_angle_beta 138.25
_cell_angle_gamma 60.53
loop_
_symmetry_equiv_pos_as_xyz
'x,y,z'
loop_
_atom_site_label
_atom_site_type_symbol
_atom_site_fract_x
_atom_site_fract_y
_atom_site_fract_z
Th1 Th 0.0000 0.0000 0.0000
Zn1 Zn 0.3915 0.3915 0.0000
Zn2 Zn 0.6085 0.6085 0.0000
Hg1 Hg 0.2500 0.7500 0.5000
Hg2 Hg 0.7500 0.2500 0.5000
# - energy of formation (eV per atom) = -0.18
# - space-group type = I4/mmm (139)

(6)
# PBE-GGA CsNaAg2F4, optimized geometry
data_CsNaAg2F4
_chemical_formula_sum 'Cs2 Na2 Ag4 F8'
_symmetry_space_group_name_H-M 'P 1'
_symmetry_Int_Tables_number 1
_cell_length_a 7.6569
_cell_length_b 7.6569
_cell_length_c 7.4360
_cell_angle_alpha 111.67
_cell_angle_beta 111.67
_cell_angle_gamma 105.13
loop_
_symmetry_equiv_pos_as_xyz
'x,y,z'
loop_
_atom_site_label
_atom_site_type_symbol
_atom_site_fract_x
_atom_site_fract_y
_atom_site_fract_z
Cs1 Cs 0.0000 0.5000 0.0000
Cs2 Cs 0.5000 0.0000 0.5000
Na1 Na 0.0000 0.0000 0.0000
Na2 Na 0.0000 0.0000 0.5000
Ag1 Ag 0.0000 0.5000 0.5000
Ag2 Ag 0.5000 0.0000 0.0000
Ag3 Ag 0.5000 0.5000 0.0000
Ag4 Ag 0.5000 0.5000 0.5000
F1 F 0.1387 0.7663 0.4831
F2 F 0.2299 0.2433 0.9054
F3 F 0.2337 0.8613 0.0169
F4 F 0.2433 0.2299 0.4054
F5 F 0.7567 0.7701 0.5946
F6 F 0.7663 0.1387 0.9831
F7 F 0.7701 0.7567 0.0946
F8 F 0.8613 0.2337 0.5169
# - formation energy without anion corrections (kJ/mol of formula units) = -1374
# - space-group type = C2/c (15)

Sequential D(E_F) output: 5.702; 0.754; 4.218; 17.364; 3.045; 0.000 states/eV per cell